# 1
Computed, not measured: a PBEsol-optimized structure of MgRe3Pd at the SCAN level of DFT.

Properties
E_tot	-47.71	eV per atom
spin magnetization	0.00	μB/atom
D(E_F)	5.57	states/eV/f.u.

Cell lengths 4.6654, 4.6654, 4.6654 Å; angles 90.00, 90.00, 90.00 degrees
Fractional coordinates of all 5 atoms:
Re (0.5000, 0.0000, 0.0000)
Pd (0.0000, 0.0000, 0.0000)
Re (0.0000, 0.0000, 0.5000)
Mg (0.5000, 0.5000, 0.5000)
Re (0.0000, 0.5000, 0.0000)


# 2
Computed, not measured: a PBEsol-optimized structure of MgPd3S at the SCAN level of DFT.

Properties
formation energy (no corrections)	-0.366	eV/atom
E_tot	-22.95	eV per atom
spin magnetization	0.00	μB/atom
D(E_F)	1.34	states/eV/f.u.

Cell lengths 4.4440, 4.4440, 4.4440 Å; angles 90.00, 90.00, 90.00 degrees
Fractional coordinates of all 5 atoms:
Pd (0.0000, 0.5000, 0.0000)
Pd (0.0000, 0.0000, 0.5000)
S (0.0000, 0.0000, 0.0000)
Mg (0.5000, 0.5000, 0.5000)
Pd (0.5000, 0.0000, 0.0000)


# 3
Computed, not measured: a PBEsol-optimized structure of MgSbPd at the SCAN level of DFT.

Properties
formation energy (no corrections)	-0.748	eV/atom
E_tot	-25.75	eV per atom
spin magnetization	0.00	μB/atom
D(E_F)	1.23	states/eV/f.u.

Cell lengths 4.4330, 4.4330, 4.4330 Å; angles 60.00, 60.00, 60.00 degrees
Fractional coordinates of all 3 atoms:
Mg (0.5000, 0.5000, 0.5000)
Pd (0.2500, 0.2500, 0.2500)
Sb (0.0000, 0.0000, 0.0000)


# 4
Computed, not measured: a PBEsol-optimized structure of MgSbPd2 at the SCAN level of DFT.

Properties
formation energy (no corrections)	-0.644	eV/atom
E_tot	-27.59	eV per atom
spin magnetization	0.00	μB/atom
D(E_F)	0.98	states/eV/f.u.

Cell lengths 4.5652, 4.5652, 4.5652 Å; angles 60.00, 60.00, 60.00 degrees
Fractional coordinates of all 4 atoms:
Pd (0.2500, 0.2500, 0.2500)
Mg (0.5000, 0.5000, 0.5000)
Sb (0.0000, 0.0000, 0.0000)
Pd (0.7500, 0.7500, 0.7500)


# 5
Computed, not measured: a PBEsol-optimized structure of MgPdSe3 at the SCAN level of DFT.

Properties
formation energy (no corrections)	0.042	eV/atom
E_tot	-19.55	eV per atom
spin magnetization	0.00	μB/atom
D(E_F)	3.98	states/eV/f.u.

Cell lengths 4.8867, 4.8867, 4.8867 Å; angles 90.00, 90.00, 90.00 degrees
Fractional coordinates of all 5 atoms:
Se (0.5000, 0.0000, 0.0000)
Se (0.0000, 0.0000, 0.5000)
Pd (0.0000, 0.0000, 0.0000)
Mg (0.5000, 0.5000, 0.5000)
Se (0.0000, 0.5000, 0.0000)


# 6
Computed, not measured: a PBEsol-optimized structure of Mg2PdSe at the SCAN level of DFT.

Properties
formation energy (no corrections)	-0.492	eV/atom
E_tot	-16.19	eV per atom
spin magnetization	0.00	μB/atom
D(E_F)	0.21	states/eV/f.u.

Cell lengths 6.1190, 6.1190, 6.1190 Å; angles 102.82, 112.89, 112.89 degrees
Fractional coordinates of all 8 atoms:
Pd (0.0000, 0.0000, 0.0000)
Se (0.5000, 0.2500, 0.7500)
Pd (0.5000, 0.7500, 0.2500)
Mg (0.0018, 0.1268, 0.6250)
Mg (0.4982, 0.8750, 0.8732)
Mg (0.5018, 0.3750, 0.3768)
Mg (0.9982, 0.6232, 0.1250)
Se (0.0000, 0.5000, 0.5000)